Below is an optimized crystal structure of MgZnSO, with properties calculated at the PBE-GGA level.

Output
- Energy relative to the lowest polymorph listed for this composition: 8.76 kJ per mole of atoms
- Volume: 16.59 Å³/atom
- Calculated total energy: -17.95 eV per formula unit

Cell: 6.1021 6.1559 7.0666 Å, 90.00 90.00 90.00°
With the nearest neighbours (Å) after each atom.
Element x y z (fractional)
1 Zn 0.0994 0.2081 0.1142  2 O 2.00-2.06
2 Zn 0.5994 0.2919 0.8858  2 O 2.00-2.06
3 Zn 0.9006 0.7081 0.3858  2 O 2.00-2.06
4 Zn 0.4006 0.7919 0.6142  2 O 2.00-2.06
5 S 0.1229 0.8233 0.1432  2 Zn 2.30-2.38, 2 Mg 2.44-2.46
6 S 0.3771 0.1767 0.6432  2 Zn 2.30-2.38, 2 Mg 2.44-2.46
7 S 0.8771 0.3233 0.3568  2 Zn 2.30-2.38, 2 Mg 2.44-2.46
8 S 0.6229 0.6767 0.8568  2 Zn 2.30-2.38, 2 Mg 2.44-2.46
9 Mg 0.5379 0.1148 0.3278  2 O 1.97-1.99
10 Mg 0.0379 0.3852 0.6722  2 O 1.97-1.99
11 Mg 0.4621 0.6148 0.1722  2 O 1.97-1.99
12 Mg 0.9621 0.8852 0.8278  2 O 1.97-1.99
13 O 0.5871 0.8000 0.3721  2 Mg 1.97-1.99, 2 Zn 2.00-2.06
14 O 0.4129 0.3000 0.1279  2 Mg 1.97-1.99, 2 Zn 2.00-2.06
15 O 0.9129 0.2000 0.8721  2 Mg 1.97-1.99, 2 Zn 2.00-2.06
16 O 0.0871 0.7000 0.6279  2 Mg 1.97-1.99, 2 Zn 2.00-2.06